! CsHfZrP2 (GGA-PBE, optimized geometry); values from VASP
&SYSTEM
  ibrav = 0, nat = 5, ntyp = 4
/
ATOMIC_SPECIES
Cs 132.91 Cs.upf
Hf 178.49 Hf.upf
Zr 91.22 Zr.upf
P 30.97 P.upf
CELL_PARAMETERS angstrom
5.1869 0.0000 0.0000
0.0000 5.1869 0.0000
0.0000 0.0000 5.3328
ATOMIC_POSITIONS crystal
Cs 0.0000 0.0000 0.0000
Hf 0.5000 0.5000 0.0000
Zr 0.5000 0.5000 0.5000
P 0.0000 0.5000 0.5000
P 0.5000 0.0000 0.5000
! Total magnetic moment   0.00 μB/cell
! SG   P4/mmm (123)
! DOS at the Fermi energy   4.7 states/eV per cell
! Formation energy   478 meV/atom
! Energy   -27.8 eV for the cell shown